Record 1
An optimized crystal structure of K3Bi2As3O12. Source: Alexandria, functional PBEsol.

* VASP energy: -6.0446 eV per atom

CIF file:
```
data_K3Bi2As3O12
_space_group_name_H-M_alt 'C 1 2/c 1'
_space_group_IT_number 15
_cell_length_a 13.993
_cell_length_b 13.784
_cell_length_c 7.033
_cell_angle_alpha 90.00
_cell_angle_beta 114.45
_cell_angle_gamma 90.00
loop_
_space_group_symop_operation_xyz
'x,y,z'
'-x,-y,-z'
'-x,y,-z+1/2'
'x,-y,z+1/2'
'x+1/2,y+1/2,z'
'-x+1/2,-y+1/2,-z'
'-x+1/2,y+1/2,-z+1/2'
'x+1/2,-y+1/2,z+1/2'
loop_
_atom_site_label
_atom_site_type_symbol
_atom_site_fract_x
_atom_site_fract_y
_atom_site_fract_z
K1 K 0.000 0.000 0.000
K2 K 0.000 0.223 0.250
K3 K 0.000 0.485 0.250
Bi1 Bi 0.238 0.355 0.165
As1 As 0.000 0.254 0.750
As2 As 0.243 0.393 0.639
O1 O 0.067 0.333 0.954
O2 O 0.075 0.182 0.670
O3 O 0.145 0.065 0.366
O4 O 0.167 0.485 0.665
O5 O 0.171 0.333 0.408
O6 O 0.231 0.186 0.151
```

***

Record 2
An optimized crystal structure of KBiAs2Se. Source: Alexandria, functional PBEsol.

* VASP energy: -2.6334 eV per atom

CIF file:
```
data_KBiAs2Se
_space_group_name_H-M_alt 'P 4/m m m'
_space_group_IT_number 123
_space_group_name_Hall '-P 4 2'
_cell_length_a 5.237
_cell_length_b 5.237
_cell_length_c 5.353
_cell_angle_alpha 90.00
_cell_angle_beta 90.00
_cell_angle_gamma 90.00
loop_
_atom_site_label
_atom_site_type_symbol
_atom_site_fract_x
_atom_site_fract_y
_atom_site_fract_z
K1 K 0.000 0.000 0.000
Bi1 Bi 0.500 0.500 0.500
As1 As 0.000 0.500 0.000
Se1 Se 0.000 0.000 0.500
```

***

Record 3
An optimized crystal structure of LaNbBiAs2. Source: Alexandria, functional PBEsol.

* formation energy: -0.28 eV/atom
* VASP energy: -6.4085 eV per atom

CIF file:
```
data_LaNbBiAs2
_space_group_name_H-M_alt 'P 4/m m m'
_space_group_IT_number 123
_space_group_name_Hall '-P 4 2'
_cell_length_a 4.919
_cell_length_b 4.919
_cell_length_c 5.562
_cell_angle_alpha 90.00
_cell_angle_beta 90.00
_cell_angle_gamma 90.00
loop_
_atom_site_label
_atom_site_type_symbol
_atom_site_fract_x
_atom_site_fract_y
_atom_site_fract_z
La1 La 0.000 0.000 0.000
Nb1 Nb 0.500 0.500 0.500
Bi1 Bi 0.500 0.500 0.000
As1 As 0.000 0.500 0.500
```

***

Record 4
An optimized crystal structure of LaBiAs2Pt. Source: Alexandria, functional PBEsol.

* formation energy: -0.19 eV/atom
* VASP energy: -5.5538 eV per atom

CIF file:
```
data_LaBiAs2Pt
_space_group_name_H-M_alt 'P 4/m m m'
_space_group_IT_number 123
_space_group_name_Hall '-P 4 2'
_cell_length_a 4.863
_cell_length_b 4.863
_cell_length_c 5.506
_cell_angle_alpha 90.00
_cell_angle_beta 90.00
_cell_angle_gamma 90.00
loop_
_atom_site_label
_atom_site_type_symbol
_atom_site_fract_x
_atom_site_fract_y
_atom_site_fract_z
La1 La 0.000 0.000 0.000
Bi1 Bi 0.500 0.500 0.000
As1 As 0.000 0.500 0.500
Pt1 Pt 0.500 0.500 0.500
```

***

Record 5
An optimized crystal structure of Li3BiAs. Source: Alexandria, functional PBEsol.

* formation energy: -0.21 eV/atom
* VASP energy: -3.2731 eV per atom

CIF file:
```
data_Li3BiAs
_space_group_name_H-M_alt 'P m -3 m'
_space_group_IT_number 221
_space_group_name_Hall '-P 4 2 3'
_cell_length_a 4.727
_cell_length_b 4.727
_cell_length_c 4.727
_cell_angle_alpha 90.00
_cell_angle_beta 90.00
_cell_angle_gamma 90.00
loop_
_atom_site_label
_atom_site_type_symbol
_atom_site_fract_x
_atom_site_fract_y
_atom_site_fract_z
Li1 Li 0.000 0.000 0.500
Bi1 Bi 0.500 0.500 0.500
As1 As 0.000 0.000 0.000
```

***

Record 6
An optimized crystal structure of LiBiAs2. Source: Alexandria, functional PBEsol.

* formation energy: 0.07 eV/atom
* VASP energy: -4.0504 eV per atom

CIF file:
```
data_LiBiAs2
_space_group_name_H-M_alt 'I -4 2 d'
_space_group_IT_number 122
_space_group_name_Hall 'I -4 2bw'
_cell_length_a 6.029
_cell_length_b 6.029
_cell_length_c 12.015
_cell_angle_alpha 90.00
_cell_angle_beta 90.00
_cell_angle_gamma 90.00
loop_
_atom_site_label
_atom_site_type_symbol
_atom_site_fract_x
_atom_site_fract_y
_atom_site_fract_z
Li1 Li 0.000 0.000 0.000
Bi1 Bi 0.000 0.000 0.500
As1 As 0.222 0.250 0.125
```

***

Record 7
An optimized crystal structure of Li2BiAs2. Source: Alexandria, functional PBEsol.

* formation energy: -0.32 eV/atom
* VASP energy: -4.0082 eV per atom

CIF file:
```
data_Li2BiAs2
_space_group_name_H-M_alt 'P 4/m b m'
_space_group_IT_number 127
_space_group_name_Hall '-P 4 2ab'
_cell_length_a 8.110
_cell_length_b 8.110
_cell_length_c 2.988
_cell_angle_alpha 90.00
_cell_angle_beta 90.00
_cell_angle_gamma 90.00
loop_
_atom_site_label
_atom_site_type_symbol
_atom_site_fract_x
_atom_site_fract_y
_atom_site_fract_z
Li1 Li 0.122 0.378 0.000
Bi1 Bi 0.000 0.000 0.500
As1 As 0.175 0.675 0.500
```

***

Record 8
An optimized crystal structure of MgBi3As. Source: Alexandria, functional PBEsol.

* formation energy: 0.50 eV/atom
* VASP energy: -3.4338 eV per atom

CIF file:
```
data_MgBi3As
_space_group_name_H-M_alt 'P m -3 m'
_space_group_IT_number 221
_space_group_name_Hall '-P 4 2 3'
_cell_length_a 5.507
_cell_length_b 5.507
_cell_length_c 5.507
_cell_angle_alpha 90.00
_cell_angle_beta 90.00
_cell_angle_gamma 90.00
loop_
_atom_site_label
_atom_site_type_symbol
_atom_site_fract_x
_atom_site_fract_y
_atom_site_fract_z
Mg1 Mg 0.000 0.000 0.000
Bi1 Bi 0.000 0.500 0.500
As1 As 0.500 0.500 0.500
```

***

Record 9
An optimized crystal structure of MgBiAsSe2. Source: Alexandria, functional PBEsol.

* polymorph energy (0 for the lowest one): 0 meV per atom
* VASP energy: -3.5827 eV per atom

CIF file:
```
data_MgBiAsSe2
_space_group_name_H-M_alt 'P 4/m m m'
_space_group_IT_number 123
_space_group_name_Hall '-P 4 2'
_cell_length_a 4.965
_cell_length_b 4.965
_cell_length_c 4.924
_cell_angle_alpha 90.00
_cell_angle_beta 90.00
_cell_angle_gamma 90.00
loop_
_atom_site_label
_atom_site_type_symbol
_atom_site_fract_x
_atom_site_fract_y
_atom_site_fract_z
Mg1 Mg 0.000 0.000 0.000
Bi1 Bi 0.500 0.500 0.500
As1 As 0.000 0.000 0.500
Se1 Se 0.000 0.500 0.000
```

***

Record 10
An optimized crystal structure of MnBiAs3. Source: Alexandria, functional PBEsol.

* polymorph energy (0 for the lowest one): 0 meV per atom
* formation energy: 0.31 eV/atom
* VASP energy: -5.5585 eV per atom

CIF file:
```
data_MnBiAs3
_space_group_name_H-M_alt 'P m -3 m'
_space_group_IT_number 221
_space_group_name_Hall '-P 4 2 3'
_cell_length_a 4.629
_cell_length_b 4.629
_cell_length_c 4.629
_cell_angle_alpha 90.00
_cell_angle_beta 90.00
_cell_angle_gamma 90.00
loop_
_atom_site_label
_atom_site_type_symbol
_atom_site_fract_x
_atom_site_fract_y
_atom_site_fract_z
Mn1 Mn 0.000 0.000 0.000
Bi1 Bi 0.500 0.500 0.500
As1 As 0.000 0.000 0.500
```

***

Record 11
An optimized crystal structure of MnBiAsS2. Source: Alexandria, functional PBEsol.

* VASP energy: -4.4193 eV per atom

CIF file:
```
data_MnBiAsS2
_space_group_name_H-M_alt 'P 4/m m m'
_space_group_IT_number 123
_space_group_name_Hall '-P 4 2'
_cell_length_a 5.177
_cell_length_b 5.177
_cell_length_c 5.209
_cell_angle_alpha 90.00
_cell_angle_beta 90.00
_cell_angle_gamma 90.00
loop_
_atom_site_label
_atom_site_type_symbol
_atom_site_fract_x
_atom_site_fract_y
_atom_site_fract_z
Mn1 Mn 0.000 0.000 0.000
Bi1 Bi 0.000 0.000 0.500
As1 As 0.500 0.500 0.000
S1 S 0.000 0.500 0.500
```

***

Record 12
An optimized crystal structure of MnBiAs2Se. Source: Alexandria, functional PBEsol.

* VASP energy: -4.3581 eV per atom

CIF file:
```
data_MnBiAs2Se
_space_group_name_H-M_alt 'P 4/m m m'
_space_group_IT_number 123
_space_group_name_Hall '-P 4 2'
_cell_length_a 5.345
_cell_length_b 5.345
_cell_length_c 5.374
_cell_angle_alpha 90.00
_cell_angle_beta 90.00
_cell_angle_gamma 90.00
loop_
_atom_site_label
_atom_site_type_symbol
_atom_site_fract_x
_atom_site_fract_y
_atom_site_fract_z
Mn1 Mn 0.000 0.000 0.000
Bi1 Bi 0.500 0.500 0.500
As1 As 0.000 0.500 0.500
Se1 Se 0.500 0.500 0.000
```

***

Record 13
An optimized crystal structure of BiMo2As2. Source: Alexandria, functional PBEsol.

* formation energy: 0.26 eV/atom
* VASP energy: -7.3481 eV per atom

CIF file:
```
data_BiMo2As2
_space_group_name_H-M_alt 'I 4/m m m'
_space_group_IT_number 139
_space_group_name_Hall '-I 4 2'
_cell_length_a 3.843
_cell_length_b 3.843
_cell_length_c 12.507
_cell_angle_alpha 90.00
_cell_angle_beta 90.00
_cell_angle_gamma 90.00
loop_
_atom_site_label
_atom_site_type_symbol
_atom_site_fract_x
_atom_site_fract_y
_atom_site_fract_z
Bi1 Bi 0.000 0.000 0.000
Mo1 Mo 0.000 0.000 0.384
As1 As 0.000 0.500 0.250
```

***

Record 14
An optimized crystal structure of BiMoAsSe2. Source: Alexandria, functional PBEsol.

* polymorph energy (0 for the lowest one): 0 meV per atom
* VASP energy: -5.5016 eV per atom

CIF file:
```
data_BiMoAsSe2
_space_group_name_H-M_alt 'P 4/m m m'
_space_group_IT_number 123
_space_group_name_Hall '-P 4 2'
_cell_length_a 4.851
_cell_length_b 4.851
_cell_length_c 4.950
_cell_angle_alpha 90.00
_cell_angle_beta 90.00
_cell_angle_gamma 90.00
loop_
_atom_site_label
_atom_site_type_symbol
_atom_site_fract_x
_atom_site_fract_y
_atom_site_fract_z
Bi1 Bi 0.000 0.000 0.000
Mo1 Mo 0.500 0.500 0.500
As1 As 0.500 0.500 0.000
Se1 Se 0.000 0.500 0.500
```

***

Record 15
An optimized crystal structure of Bi3AsN. Source: Alexandria, functional PBEsol.

* VASP energy: -3.7261 eV per atom

CIF file:
```
data_Bi3AsN
_space_group_name_H-M_alt 'P m -3 m'
_space_group_IT_number 221
_space_group_name_Hall '-P 4 2 3'
_cell_length_a 5.508
_cell_length_b 5.508
_cell_length_c 5.508
_cell_angle_alpha 90.00
_cell_angle_beta 90.00
_cell_angle_gamma 90.00
loop_
_atom_site_label
_atom_site_type_symbol
_atom_site_fract_x
_atom_site_fract_y
_atom_site_fract_z
Bi1 Bi 0.000 0.000 0.500
As1 As 0.000 0.000 0.000
N1 N 0.500 0.500 0.500
```

***

Record 16
An optimized crystal structure of BiAsSN2. Source: Alexandria, functional PBEsol.

* VASP energy: -5.2844 eV per atom

CIF file:
```
data_BiAsSN2
_space_group_name_H-M_alt 'P 4/m m m'
_space_group_IT_number 123
_space_group_name_Hall '-P 4 2'
_cell_length_a 3.903
_cell_length_b 3.903
_cell_length_c 4.794
_cell_angle_alpha 90.00
_cell_angle_beta 90.00
_cell_angle_gamma 90.00
loop_
_atom_site_label
_atom_site_type_symbol
_atom_site_fract_x
_atom_site_fract_y
_atom_site_fract_z
Bi1 Bi 0.000 0.000 0.000
As1 As 0.500 0.500 0.500
S1 S 0.500 0.500 0.000
N1 N 0.000 0.500 0.500
```

***

Record 17
An optimized crystal structure of BiSbAsN2. Source: Alexandria, functional PBEsol.

* VASP energy: -4.8828 eV per atom

CIF file:
```
data_BiSbAsN2
_space_group_name_H-M_alt 'P 4/m m m'
_space_group_IT_number 123
_space_group_name_Hall '-P 4 2'
_cell_length_a 4.119
_cell_length_b 4.119
_cell_length_c 5.320
_cell_angle_alpha 90.00
_cell_angle_beta 90.00
_cell_angle_gamma 90.00
loop_
_atom_site_label
_atom_site_type_symbol
_atom_site_fract_x
_atom_site_fract_y
_atom_site_fract_z
Bi1 Bi 0.000 0.000 0.000
Sb1 Sb 0.500 0.500 0.000
As1 As 0.500 0.500 0.500
N1 N 0.000 0.500 0.500
```

***

Record 18
An optimized crystal structure of BiTeAsN2. Source: Alexandria, functional PBEsol.

* VASP energy: -4.7086 eV per atom

CIF file:
```
data_BiTeAsN2
_space_group_name_H-M_alt 'P 4/m m m'
_space_group_IT_number 123
_space_group_name_Hall '-P 4 2'
_cell_length_a 4.143
_cell_length_b 4.143
_cell_length_c 5.328
_cell_angle_alpha 90.00
_cell_angle_beta 90.00
_cell_angle_gamma 90.00
loop_
_atom_site_label
_atom_site_type_symbol
_atom_site_fract_x
_atom_site_fract_y
_atom_site_fract_z
Bi1 Bi 0.000 0.000 0.000
Te1 Te 0.500 0.500 0.000
As1 As 0.500 0.500 0.500
N1 N 0.000 0.500 0.500
```

***

Record 19
An optimized crystal structure of Na2BiAs. Source: Alexandria, functional PBEsol.

* formation energy: -0.13 eV/atom
* VASP energy: -3.1805 eV per atom

CIF file:
```
data_Na2BiAs
_space_group_name_H-M_alt 'F m -3 m'
_space_group_IT_number 225
_space_group_name_Hall '-F 4 2 3'
_cell_length_a 7.254
_cell_length_b 7.254
_cell_length_c 7.254
_cell_angle_alpha 90.00
_cell_angle_beta 90.00
_cell_angle_gamma 90.00
loop_
_atom_site_label
_atom_site_type_symbol
_atom_site_fract_x
_atom_site_fract_y
_atom_site_fract_z
Na1 Na 0.250 0.250 0.250
Bi1 Bi 0.000 0.000 0.000
As1 As 0.000 0.000 0.500
```

***

Record 20
An optimized crystal structure of NbBiAs2Se. Source: Alexandria, functional PBEsol.

* VASP energy: -5.6187 eV per atom

CIF file:
```
data_NbBiAs2Se
_space_group_name_H-M_alt 'P 4/m m m'
_space_group_IT_number 123
_space_group_name_Hall '-P 4 2'
_cell_length_a 5.031
_cell_length_b 5.031
_cell_length_c 4.889
_cell_angle_alpha 90.00
_cell_angle_beta 90.00
_cell_angle_gamma 90.00
loop_
_atom_site_label
_atom_site_type_symbol
_atom_site_fract_x
_atom_site_fract_y
_atom_site_fract_z
Nb1 Nb 0.000 0.000 0.000
Bi1 Bi 0.500 0.500 0.500
As1 As 0.000 0.500 0.000
Se1 Se 0.000 0.000 0.500
```

***

Across the entries above, density of states at the Fermi level takes the values 0.00 5.87 3.30 3.81 3.15 0.79 4.00 4.38 4.21 3.92 4.32 4.72 9.58 6.68 3.09 2.37 3.03 2.75 5.69 4.18 states/eV per cell, respectively.